Record 1
{"formula": "Na4ScPa3Se8", "functional": "GGA-PBE", "state": "optimized geometry", "volume_a3_per_atom": 25.46, "n_ef_per_ev_cell": 14.89, "space_group": "R-3m, No. 166", "raw_formation_energy_ev_per_atom": -1.34, "cell": [[4.043, 2.334, 7.196], [-4.043, 2.334, 7.196], [0.000, -4.668, 7.196]], "species": ["Na", "Na", "Na", "Na", "Sc", "Pa", "Pa", "Pa", "Se", "Se", "Se", "Se", "Se", "Se", "Se", "Se"], "frac_coords": [[0.000, 0.000, 0.000], [0.000, 0.500, 0.500], [0.500, 0.000, 0.500], [0.500, 0.500, 0.000], [0.500, 0.500, 0.500], [0.000, 0.000, 0.500], [0.000, 0.500, 0.000], [0.500, 0.000, 0.000], [0.248, 0.248, 0.248], [0.255, 0.738, 0.738], [0.262, 0.262, 0.745], [0.262, 0.745, 0.262], [0.738, 0.255, 0.738], [0.738, 0.738, 0.255], [0.745, 0.262, 0.262], [0.752, 0.752, 0.752]]}

=====

Record 2
{"formula": "Be2Cl", "functional": "GGA-PBE", "state": "optimized geometry", "volume_a3_per_atom": 16.14, "de_polymorph_ev_per_fu": 0.46, "n_ef_per_ev_cell": 0.24, "space_group": "P1, No. 1", "raw_formation_energy_ev_per_atom": -0.18, "cell": [[3.086, 0.000, 0.000], [0.277, 3.081, 0.000], [0.967, 0.840, 10.186]], "species": ["Be", "Be", "Be", "Be", "Cl", "Cl"], "frac_coords": [[0.000, 0.000, 0.000], [0.023, 0.192, 0.788], [0.274, 0.432, 0.148], [0.451, 0.448, 0.937], [0.026, 0.729, 0.662], [0.733, 0.433, 0.275]]}